No. 1
# SrLiGa | Alexandria | PBE | optimized geometry
# Total magnetization: 0.00 μB per cell
# Energy relative to the elements: -0.295 eV per atom
# Crystal system: triclinic
# Theoretical density: 3442 kg/m³
data_SrLiGa
_chemical_formula_sum 'Sr2 Li2 Ga2'
_cell_length_a 5.027
_cell_length_b 5.922
_cell_length_c 6.388
_cell_angle_alpha 80.52
_cell_angle_beta 66.85
_cell_angle_gamma 65.03
_space_group_name_H-M_alt 'P -1'
_space_group_IT_number 2
_space_group_name_Hall '-P 1'
loop_
_atom_site_label
_atom_site_type_symbol
_atom_site_fract_x
_atom_site_fract_y
_atom_site_fract_z
_atom_site_occupancy
Sr1 Sr 0.054 0.194 0.197 1
Li1 Li 0.321 0.570 0.289 1
Ga1 Ga 0.339 0.197 0.626 1

***

No. 2
# Sr2Li17Ga3 | Alexandria | PBE | optimized geometry
# Total magnetization: 0.00 μB per cell
# Energy relative to the elements: -0.023 eV per atom
# Crystal system: trigonal
# Theoretical density: 1644 kg/m³
data_Sr2Li17Ga3
_chemical_formula_sum 'Sr6 Li51 Ga9'
_cell_length_a 10.7972
_cell_length_b 10.7972
_cell_length_c 15.0789
_cell_angle_alpha 90.00
_cell_angle_beta 90.00
_cell_angle_gamma 120.00
_space_group_name_H-M_alt 'R -3 m'
_space_group_IT_number 166
_space_group_name_Hall '-R 3 2"'
loop_
_atom_site_label
_atom_site_type_symbol
_atom_site_fract_x
_atom_site_fract_y
_atom_site_fract_z
_atom_site_occupancy
Sr1 Sr 0.0000 0.0000 0.1721 1
Li1 Li 0.0000 0.0000 0.4079 1
Li2 Li 0.0000 0.2630 0.5000 1
Li3 Li 0.0000 0.5000 0.0000 1
Li4 Li 0.0130 0.5065 0.6735 1
Ga1 Ga 0.0000 0.5000 0.5000 1

***

No. 3
# SrLiGa2 | Alexandria | PBE | optimized geometry
# Total magnetization: 0.00 μB per cell
# Energy relative to the elements: -0.305 eV per atom
# Crystal system: tetragonal
# Theoretical density: 4365 kg/m³
data_SrLiGa2
_chemical_formula_sum 'Sr1 Li1 Ga2'
_cell_length_a 3.508
_cell_length_b 3.508
_cell_length_c 7.236
_cell_angle_alpha 90.00
_cell_angle_beta 90.00
_cell_angle_gamma 90.00
_space_group_name_H-M_alt 'P 4/m m m'
_space_group_IT_number 123
_space_group_name_Hall '-P 4 2'
loop_
_atom_site_label
_atom_site_type_symbol
_atom_site_fract_x
_atom_site_fract_y
_atom_site_fract_z
_atom_site_occupancy
Sr1 Sr 0.000 0.000 0.000 1
Li1 Li 0.000 0.000 0.500 1
Ga1 Ga 0.500 0.500 0.316 1

***

No. 4
# Sr8Li2Ga | Alexandria | PBE | optimized geometry
# Total magnetization: 0.00 μB per cell
# Energy relative to the elements: -0.034 eV per atom
# Crystal system: monoclinic
# Theoretical density: 2724 kg/m³
data_Sr8Li2Ga
_chemical_formula_sum 'Sr16 Li4 Ga2'
_cell_length_a 20.769
_cell_length_b 5.996
_cell_length_c 8.065
_cell_angle_alpha 90.00
_cell_angle_beta 107.75
_cell_angle_gamma 90.00
_space_group_name_H-M_alt 'C 1 2/m 1'
_space_group_IT_number 12
_space_group_name_Hall '-C 2y'
loop_
_atom_site_label
_atom_site_type_symbol
_atom_site_fract_x
_atom_site_fract_y
_atom_site_fract_z
_atom_site_occupancy
Sr1 Sr 0.025 0.000 0.293 1
Sr2 Sr 0.090 0.500 0.927 1
Sr3 Sr 0.156 0.500 0.466 1
Sr4 Sr 0.203 0.000 0.807 1
Li1 Li 0.182 0.000 0.214 1
Ga1 Ga 0.000 0.500 0.500 1

***

No. 5
# Sr2LiGa2 | Alexandria | PBE | optimized geometry
# Total magnetization: 0.00 μB per cell
# Energy relative to the elements: -0.306 eV per atom
# Crystal system: orthorhombic
# Theoretical density: 3721 kg/m³
data_Sr2LiGa2
_chemical_formula_sum 'Sr4 Li2 Ga4'
_cell_length_a 4.778
_cell_length_b 5.971
_cell_length_c 10.064
_cell_angle_alpha 90.00
_cell_angle_beta 90.00
_cell_angle_gamma 90.00
_space_group_name_H-M_alt 'I m m m'
_space_group_IT_number 71
_space_group_name_Hall '-I 2 2'
loop_
_atom_site_label
_atom_site_type_symbol
_atom_site_fract_x
_atom_site_fract_y
_atom_site_fract_z
_atom_site_occupancy
Sr1 Sr 0.000 0.000 0.188 1
Li1 Li 0.000 0.500 0.000 1
Ga1 Ga 0.000 0.232 0.500 1

***

No. 6
# Sr2Li5Ga | Alexandria | PBE | optimized geometry
# Total magnetization: 0.00 μB per cell
# Energy relative to the elements: -0.045 eV per atom
# Crystal system: tetragonal
# Theoretical density: 1936 kg/m³
data_Sr2Li5Ga
_chemical_formula_sum 'Sr4 Li10 Ga2'
_cell_length_a 6.178
_cell_length_b 6.178
_cell_length_c 12.572
_cell_angle_alpha 90.00
_cell_angle_beta 90.00
_cell_angle_gamma 90.00
_space_group_name_H-M_alt 'I 4 m m'
_space_group_IT_number 107
_space_group_name_Hall 'I 4 -2'
loop_
_atom_site_label
_atom_site_type_symbol
_atom_site_fract_x
_atom_site_fract_y
_atom_site_fract_z
_atom_site_occupancy
Sr1 Sr 0.000 0.500 0.000 1
Li1 Li 0.000 0.000 0.384 1
Li2 Li 0.240 0.240 0.738 1
Ga1 Ga 0.000 0.000 0.597 1